[1]
Computed, not measured: Na7PdAu3 after structural relaxation at the PBE level of DFT.

Properties
E_tot   -0.088 Ha/atom
Symmetry   Cmcm, No. 63
Total magnetic moment   0.0000 μB/atom

Geometry as extended XYZ:
```
22
Lattice="3.139 0.000 0.000 -1.570 12.064 0.000 0.000 0.000 13.762" Properties=species:S:1:pos:R:3 pbc="T T T"
Na 1.570 3.649 12.425
Na 0.000 8.415 1.336
Na 1.570 7.084 12.050
Na 1.570 3.649 8.217
Na 0.000 11.527 1.540
Na 1.570 0.538 12.222
Na 1.570 2.177 3.440
Na 0.000 4.980 1.712
Na 0.000 11.527 5.341
Na 0.000 9.888 10.321
Na 0.000 4.980 5.169
Na 0.000 8.415 5.544
Na 1.570 0.538 8.420
Na 1.570 7.084 8.593
Au 1.570 9.975 7.701
Au 1.570 9.975 12.942
Au 0.000 5.171 10.321
Au 0.000 2.089 6.061
Au 1.570 6.894 3.440
Au 0.000 2.089 0.820
Pd 1.570 9.790 3.440
Pd 0.000 2.274 10.321
```


[2]
Computed, not measured: Na2PdAu after structural relaxation at the PBE level of DFT.

Properties
E_tot   -0.101 Ha/atom
Symmetry   R-3m, No. 166
Total magnetic moment   0.0000 μB/atom

Geometry as extended XYZ:
```
4
Lattice="2.976 0.000 0.000 1.488 2.577 0.000 1.488 0.859 10.373" Properties=species:S:1:pos:R:3 pbc="T T T"
Na 4.464 2.577 2.697
Na 1.488 0.859 7.677
Pd 0.000 0.000 0.000
Au 2.976 1.718 5.187
```


[3]
Computed, not measured: Na8PdAu2 after structural relaxation at the PBE level of DFT.

Properties
Polymorph energy (0 for the lowest one)   31 meV/atom
E_tot   -0.079 Ha/atom
Symmetry   C2/m, No. 12
Total magnetic moment   0.0000 μB/atom

Geometry as extended XYZ:
```
11
Lattice="-3.538 3.834 -1.031 -1.233 -0.704 7.855 6.671 3.994 -1.806" Properties=species:S:1:pos:R:3 pbc="T T T"
Na 2.147 6.749 2.796
Na -0.248 0.375 2.222
Na -1.230 2.266 5.174
Na -0.439 3.760 1.469
Na 0.222 5.605 5.149
Na 3.130 4.858 -0.156
Na 2.339 3.364 3.549
Na 1.677 1.519 -0.131
Pd -1.769 1.917 -0.515
Au 4.147 2.494 1.279
Au 1.291 0.796 4.770
```


[4]
Computed, not measured: Na8PdAu2 after structural relaxation at the PBE level of DFT.

Properties
Polymorph energy (0 for the lowest one)   0 meV/atom
E_tot   -0.080 Ha/atom
Symmetry   Immm, No. 71
Total magnetic moment   0.0000 μB/atom

Geometry as extended XYZ:
```
11
Lattice="4.674 0.000 -1.423 -1.177 6.810 -3.868 0.035 0.231 8.505" Properties=species:S:1:pos:R:3 pbc="T T T"
Na 2.029 6.045 -1.723
Na 3.883 5.007 4.370
Na 2.999 5.956 1.465
Na 2.558 2.987 0.014
Na -0.352 2.034 -1.155
Na 0.532 1.085 1.749
Na 0.974 4.054 3.200
Na 1.503 0.996 4.938
Au 3.437 2.244 2.905
Au 0.094 4.797 0.310
Pd 2.337 0.000 -0.711
```


[5]
Computed, not measured: NaPd2Au2 after structural relaxation at the PBE level of DFT.

Properties
Polymorph energy (0 for the lowest one)   234 meV/atom
E_tot   -0.131 Ha/atom
Symmetry   I4/mmm, No. 139
Total magnetic moment   0.0000 μB/atom

Geometry as extended XYZ:
```
5
Lattice="4.057 0.000 0.000 0.000 4.057 0.000 2.029 2.029 6.252" Properties=species:S:1:pos:R:3 pbc="T T T"
Au 4.057 2.029 3.126
Au 2.029 4.057 3.126
Pd 2.029 2.029 1.290
Pd 4.057 4.057 4.962
Na 0.000 0.000 0.000
```


[6]
Computed, not measured: Na2PdAu after structural relaxation at the PBE level of DFT.

Properties
E_tot   -0.103 Ha/atom
Symmetry   I-42d, No. 122
Total magnetic moment   0.0000 μB/atom

Geometry as extended XYZ:
```
8
Lattice="7.868 0.000 0.000 0.000 7.868 0.000 3.934 3.934 2.774" Properties=species:S:1:pos:R:3 pbc="T T T"
Pd 3.934 7.868 1.387
Pd 3.934 3.934 0.000
Na 5.851 1.967 0.694
Na 5.901 5.951 2.081
Na 9.835 9.785 2.081
Na 2.017 5.901 0.694
Au 0.000 0.000 0.000
Au 7.868 3.934 1.387
```


no.,volume (A^3/atom)
1,23.69
2,19.89
3,27.19
4,25.05
5,20.59
6,21.47